Model 1:
## YAlPO2 (PBE)

Data for a relaxed structure of YAlPO2.

Crystal system: tetragonal

Cell: 4.1649 4.1649 5.8541 Å, 90.00 90.00 90.00°
Last column: nearest neighbours and their distance in Å.
Fractional positions:
Y (0.0000, 0.0000, 0.0000)  4 O 2.08
Al (0.5000, 0.5000, 0.5000)  4 P 2.95
P (0.0000, 0.0000, 0.5000)  2 Y 2.93, 4 Al 2.95
O (0.0000, 0.5000, 0.0000)  2 Y 2.08
O (0.5000, 0.0000, 0.0000)  2 Y 2.08



Model 2:
## YAlPO2 (PBE)

Data for a relaxed structure of YAlPO2.

Crystal system: tetragonal

Cell: 3.8226 3.8226 4.8484 Å, 90.00 90.00 90.00°
Last column: nearest neighbours and their distance in Å.
Fractional positions:
Y (0.0000, 0.0000, 0.0000)  4 P 2.70
Al (0.5000, 0.5000, 0.5000)  4 O 1.91
P (0.5000, 0.5000, 0.0000)  2 Al 2.42, 4 Y 2.70
O (0.0000, 0.5000, 0.5000)  2 Al 1.91
O (0.5000, 0.0000, 0.5000)  2 Al 1.91



Of them, the most stable is model 2 and the least stable is model 1.



Model 1:
## ZrAlPO2 (PBE)

Data for a relaxed structure of ZrAlPO2.

Crystal system: tetragonal

Cell: 4.0136 4.0136 5.5820 Å, 90.00 90.00 90.00°
Last column: nearest neighbours and their distance in Å.
Fractional positions:
Zr (0.0000, 0.0000, 0.0000)  4 O 2.01
Al (0.5000, 0.5000, 0.5000)  4 P 2.84
P (0.0000, 0.0000, 0.5000)  2 Zr 2.79, 4 Al 2.84
O (0.0000, 0.5000, 0.0000)  2 Zr 2.01
O (0.5000, 0.0000, 0.0000)  2 Zr 2.01



Model 2:
## ZrAlPO2 (PBE)

Data for a relaxed structure of ZrAlPO2.

Crystal system: tetragonal

Cell: 3.6884 3.6884 4.8764 Å, 90.00 90.00 90.00°
Last column: nearest neighbours and their distance in Å.
Fractional positions:
Zr (0.0000, 0.0000, 0.0000)  4 P 2.61
Al (0.5000, 0.5000, 0.5000)  4 O 1.84
P (0.5000, 0.5000, 0.0000)  2 Al 2.44, 4 Zr 2.61
O (0.0000, 0.5000, 0.5000)  2 Al 1.84
O (0.5000, 0.0000, 0.5000)  2 Al 1.84



Of them, the most stable is model 2 and the least stable is model 1.



Model 1:
## ZrAlP2O (PBE)

Data for a relaxed structure of ZrAlP2O.

Crystal system: tetragonal

Cell: 5.1692 5.1692 3.9759 Å, 90.00 90.00 90.00°
Last column: nearest neighbours and their distance in Å.
Fractional positions:
Zr (0.0000, 0.0000, 0.0000)  2 O 1.99
Al (0.5000, 0.5000, 0.5000)  8 P 3.26
P (0.0000, 0.5000, 0.0000)  2 Zr 2.58
P (0.5000, 0.0000, 0.0000)  2 Zr 2.58
O (0.0000, 0.0000, 0.5000)  2 Zr 1.99



Model 2:
## ZrAlP2O (PBE)

Data for a relaxed structure of ZrAlP2O.

Crystal system: tetragonal

Cell: 4.8997 4.8997 3.3896 Å, 90.00 90.00 90.00°
Last column: nearest neighbours and their distance in Å.
Fractional positions:
Zr (0.0000, 0.0000, 0.0000)  8 P 2.98
Al (0.5000, 0.5000, 0.5000)  2 O 1.69
P (0.0000, 0.5000, 0.5000)  2 Al 2.45
P (0.5000, 0.0000, 0.5000)  2 Al 2.45
O (0.5000, 0.5000, 0.0000)  2 Al 1.69



Of them, the most stable is model 2 and the least stable is model 1.



Model 1:
## AlPb3O (PBE)

Data for a relaxed structure of AlPb3O.

Crystal system: cubic

Cell: 5.0187 5.0187 5.0187 Å, 90.00 90.00 90.00°
Last column: nearest neighbours and their distance in Å.
Fractional positions:
Al (0.0000, 0.0000, 0.0000)  12 Pb 3.55
Pb (0.0000, 0.5000, 0.5000)  2 O 2.51
Pb (0.5000, 0.0000, 0.5000)  2 O 2.51
Pb (0.5000, 0.5000, 0.0000)  2 O 2.51
O (0.5000, 0.5000, 0.5000)  6 Pb 2.51



Model 2:
## AlPb3O (PBE)

Data for a relaxed structure of AlPb3O.

Crystal system: cubic

Cell: 5.3591 5.3591 5.3591 Å, 90.00 90.00 90.00°
Last column: nearest neighbours and their distance in Å.
Fractional positions:
Al (0.0000, 0.0000, 0.0000)  6 Pb 2.68
Pb (0.0000, 0.0000, 0.5000)  2 Al 2.68
Pb (0.0000, 0.5000, 0.0000)  2 Al 2.68
Pb (0.5000, 0.0000, 0.0000)  2 Al 2.68
O (0.5000, 0.5000, 0.5000)  12 Pb 3.79



Of them, the most stable is model 1 and the least stable is model 2.



Model 1:
## AlPd2O (PBE)

Data for a relaxed structure of AlPd2O.

Crystal system: cubic

Cell: 4.2025 4.2025 4.2025 Å, 60.00 60.00 60.00°
Last column: nearest neighbours and their distance in Å.
Fractional positions:
Al (0.0000, 0.0000, 0.0000)  8 Pd 2.57
Pd (0.2500, 0.2500, 0.2500)  4 O 2.57, 4 Al 2.57
Pd (0.7500, 0.7500, 0.7500)  4 O 2.57, 4 Al 2.57
O (0.5000, 0.5000, 0.5000)  8 Pd 2.57



Model 2:
## AlPd2O (PBE)

Data for a relaxed structure of AlPd2O.

Crystal system: tetragonal

Cell: 8.7673 8.7673 8.7673 Å, 155.59 155.59 34.79°
Last column: nearest neighbours and their distance in Å.
Fractional positions:
Al (0.0000, 0.0000, 0.0000)  4 Pd 2.48, 4 O 2.62
Al (0.7500, 0.2500, 0.5000)  4 Pd 2.48, 4 O 2.62
Pd (0.1351, 0.6250, 0.0101)  2 O 2.45, 2 Al 2.48, 4 Pd 2.57-2.67
Pd (0.3750, 0.3851, 0.5101)  2 O 2.45, 2 Al 2.48, 4 Pd 2.57-2.67
Pd (0.6149, 0.1250, 0.9899)  2 O 2.45, 2 Al 2.48, 4 Pd 2.57-2.67
Pd (0.8750, 0.8649, 0.4899)  2 O 2.45, 2 Al 2.48, 4 Pd 2.57-2.67
O (0.2500, 0.7500, 0.5000)  4 Pd 2.45, 4 Al 2.62
O (0.5000, 0.5000, 0.0000)  4 Pd 2.45, 4 Al 2.62



Of them, the most stable is model 1 and the least stable is model 2.



Model 1:
## PrAl2O4 (PBE)

Data for a relaxed structure of PrAl2O4.

Crystal system: monoclinic

Cell: 5.5315 5.5315 7.2284 Å, 109.48 109.48 78.09°
Last column: nearest neighbours and their distance in Å.
Fractional positions:
Pr (0.0000, 0.0000, 0.0000)  6 O 2.33-2.58
Pr (0.8099, 0.1901, 0.5000)  6 O 2.47-2.53
Al (0.3356, 0.6271, 0.3117)  3 O 1.80-1.83
Al (0.3600, 0.2512, 0.8448)  4 O 1.77-1.79
Al (0.3729, 0.6644, 0.6883)  3 O 1.80-1.83
Al (0.7488, 0.6400, 0.1552)  4 O 1.77-1.79
O (0.0217, 0.8223, 0.2749)  2 Al 1.79-1.83
O (0.1603, 0.4817, 0.7190)  2 Al 1.79-1.81
O (0.1777, 0.9783, 0.7251)  2 Al 1.79-1.83
O (0.2960, 0.3509, 0.0878)  2 Al 1.79-1.80
O (0.5183, 0.8397, 0.2810)  2 Al 1.79-1.81
O (0.6490, 0.1633, 0.7715)  1 Al 1.77
O (0.6491, 0.7040, 0.9122)  2 Al 1.79-1.80
O (0.8367, 0.3510, 0.2285)  1 Al 1.77



Model 2:
## PrAl2O4 (PBE)

Data for a relaxed structure of PrAl2O4.

Crystal system: orthorhombic

Cell: 5.1093 5.1093 8.3646 Å, 90.00 90.00 120.79°
Last column: nearest neighbours and their distance in Å.
Fractional positions:
Pr (0.0000, 0.0000, 0.2500)  8 O 2.51-2.68
Pr (0.0000, 0.0000, 0.7500)  8 O 2.51-2.68
Al (0.2906, 0.7034, 0.0000)  4 O 1.79-1.87
Al (0.2966, 0.7094, 0.5000)  4 O 1.79-1.87
Al (0.7034, 0.2906, 0.5000)  4 O 1.79-1.87
Al (0.7094, 0.2966, 0.0000)  4 O 1.79-1.87
O (0.0000, 0.5000, 0.1532)  2 Al 1.83
O (0.0000, 0.5000, 0.8468)  2 Al 1.83
O (0.0748, 0.3015, 0.5000)  2 Al 1.79-1.87
O (0.3015, 0.0748, 0.0000)  2 Al 1.79-1.87
O (0.5000, 0.0000, 0.3468)  2 Al 1.83
O (0.5000, 0.0000, 0.6532)  2 Al 1.83
O (0.6985, 0.9252, 0.0000)  2 Al 1.79-1.87
O (0.9252, 0.6985, 0.5000)  2 Al 1.79-1.87



Of them, the most stable is model 1 and the least stable is model 2.



Model 1:
## AlPt3O (PBE)

Data for a relaxed structure of AlPt3O.

Crystal system: cubic

Cell: 4.5672 4.5672 4.5672 Å, 90.00 90.00 90.00°
Last column: nearest neighbours and their distance in Å.
Fractional positions:
Al (0.0000, 0.0000, 0.0000)  6 Pt 2.28
Pt (0.0000, 0.0000, 0.5000)  2 Al 2.28
Pt (0.0000, 0.5000, 0.0000)  2 Al 2.28
Pt (0.5000, 0.0000, 0.0000)  2 Al 2.28
O (0.5000, 0.5000, 0.5000)  12 Pt 3.23



Model 2:
## AlPt3O (PBE)

Data for a relaxed structure of AlPt3O.

Crystal system: cubic

Cell: 4.2648 4.2648 4.2648 Å, 90.00 90.00 90.00°
Last column: nearest neighbours and their distance in Å.
Fractional positions:
Al (0.0000, 0.0000, 0.0000)  12 Pt 3.02
Pt (0.0000, 0.5000, 0.5000)  2 O 2.13
Pt (0.5000, 0.0000, 0.5000)  2 O 2.13
Pt (0.5000, 0.5000, 0.0000)  2 O 2.13
O (0.5000, 0.5000, 0.5000)  6 Pt 2.13



Of them, the most stable is model 2 and the least stable is model 1.



Model 1:
## Rb2AlO (PBE)

Data for a relaxed structure of Rb2AlO.

Crystal system: tetragonal

Cell: 9.3943 9.3943 9.3943 Å, 92.23 92.23 157.26°
Last column: nearest neighbours and their distance in Å.
Fractional positions:
Rb (0.3750, 0.0659, 0.1909)  2 O 3.38, 2 Al 3.62, 2 Rb 3.70
Rb (0.8159, 0.6250, 0.6909)  2 O 3.38, 2 Al 3.62, 2 Rb 3.70
Rb (0.8750, 0.1841, 0.8091)  2 O 3.38, 2 Al 3.62, 2 Rb 3.70
Rb (0.9341, 0.1250, 0.3091)  2 O 3.38, 2 Al 3.62, 2 Rb 3.70
Al (0.2500, 0.7500, 0.5000)  2 O 1.85
Al (0.5000, 0.5000, 0.0000)  2 O 1.85
O (0.0000, 0.0000, 0.0000)  2 Al 1.85
O (0.7500, 0.2500, 0.5000)  2 Al 1.85



Model 2:
## Rb2AlO (PBE)

Data for a relaxed structure of Rb2AlO.

Crystal system: cubic

Cell: 5.5478 5.5478 5.5478 Å, 60.00 60.00 60.00°
Last column: nearest neighbours and their distance in Å.
Fractional positions:
Rb (0.2500, 0.2500, 0.2500)  4 O 3.40, 4 Al 3.40
Rb (0.7500, 0.7500, 0.7500)  4 O 3.40, 4 Al 3.40
Al (0.0000, 0.0000, 0.0000)  8 Rb 3.40
O (0.5000, 0.5000, 0.5000)  8 Rb 3.40



Of them, the most stable is model 1 and the least stable is model 2.